No. 1
Crystalline NdGdIn4 at its relaxed geometry. Source: Alexandria via LeMat-Bulk, functional PBE-GGA.

The total moment comes out at 7.57 μB/f.u. As for the energy of formation from the pure elements: -0.4026 eV/atom. Its total energy is -128.9 eV/cell.

The structure in CIF format:
```
data_NdGdIn4
_chemical_formula_sum 'Nd4 Gd4 In16'
_cell_length_a 8.5630
_cell_length_b 8.5630
_cell_length_c 8.5630
_cell_angle_alpha 90.00
_cell_angle_beta 90.00
_cell_angle_gamma 90.00
_space_group_name_H-M_alt 'F -4 3 m'
_space_group_IT_number 216
_space_group_name_Hall 'F -4 2 3'
loop_
_atom_site_label
_atom_site_fract_x
_atom_site_fract_y
_atom_site_fract_z
Nd1 0.0000 0.0000 0.0000
Gd1 0.2500 0.2500 0.2500
In1 0.1249 0.1249 0.6249
```

No. 2
Crystalline NdGdInNi at its relaxed geometry. Source: Alexandria via LeMat-Bulk, functional PBE-GGA.

The total moment comes out at 7.11 μB/f.u. As for the energy of formation from the pure elements: -0.2574 eV/atom. Its total energy is -113.6 eV/cell.

The structure in CIF format:
```
data_NdGdInNi
_chemical_formula_sum 'Nd4 Gd4 In4 Ni4'
_cell_length_a 7.3726
_cell_length_b 7.3726
_cell_length_c 7.3726
_cell_angle_alpha 90.00
_cell_angle_beta 90.00
_cell_angle_gamma 90.00
_space_group_name_H-M_alt 'F -4 3 m'
_space_group_IT_number 216
_space_group_name_Hall 'F -4 2 3'
loop_
_atom_site_label
_atom_site_fract_x
_atom_site_fract_y
_atom_site_fract_z
Nd1 0.0000 0.0000 0.0000
Gd1 0.0000 0.0000 0.5000
In1 0.2500 0.2500 0.7500
Ni1 0.2500 0.2500 0.2500
```